1.
KGa2Au2 at its PBEsol-relaxed geometry. Source: the Alexandria database, functional meta-GGA SCAN.

Formation energy from the elements (eV/atom): -0.385
Theoretical density (g/cm3): 8.723

Cell lengths 4.675, 4.675, 9.970 Å; angles 90.00, 90.00, 90.00 degrees
Space group I4/mmm (No. 139)
Symmetry-distinct sites (fractional):
K 0.000 0.000 0.000 [2 per cell]
Ga 0.000 0.000 0.365 [4 per cell]
Au 0.000 0.500 0.250 [4 per cell]



2.
Mg2InCu at its PBEsol-relaxed geometry. Source: the Alexandria database, functional meta-GGA SCAN.

Formation energy from the elements (eV/atom): -0.074
Theoretical density (g/cm3): 4.990

Cell lengths 10.408, 3.182, 4.905 Å; angles 90.00, 111.56, 90.00 degrees
Space group Cm (No. 8)
Symmetry-distinct sites (fractional):
Mg 0.000 0.000 0.000 [2 per cell]
Mg 0.213 0.000 0.673 [2 per cell]
In 0.274 0.500 0.226 [2 per cell]
Cu 0.488 0.000 0.528 [2 per cell]



3.
K2LaCl at its PBEsol-relaxed geometry. Source: the Alexandria database, functional meta-GGA SCAN.

Formation energy from raw total energies (eV/atom): -0.744
Theoretical density (g/cm3): 2.574

Cell lengths 3.778, 3.690, 11.824 Å; angles 90.00, 98.70, 90.00 degrees
Space group Pm (No. 6)
Symmetry-distinct sites (fractional):
K 0.000 0.000 0.000 [1 per cell]
K 0.305 0.500 0.648 [1 per cell]
La 0.644 0.500 0.305 [1 per cell]
Cl 0.735 0.000 0.501 [1 per cell]



Repeat the second record exactly.
Mg2InCu at its PBEsol-relaxed geometry. Source: the Alexandria database, functional meta-GGA SCAN.

Formation energy from the elements (eV/atom): -0.074
Theoretical density (g/cm3): 4.990

Cell lengths 10.408, 3.182, 4.905 Å; angles 90.00, 111.56, 90.00 degrees
Space group Cm (No. 8)
Symmetry-distinct sites (fractional):
Mg 0.000 0.000 0.000 [2 per cell]
Mg 0.213 0.000 0.673 [2 per cell]
In 0.274 0.500 0.226 [2 per cell]
Cu 0.488 0.000 0.528 [2 per cell]



Please write out number 3 again, unchanged.
K2LaCl at its PBEsol-relaxed geometry. Source: the Alexandria database, functional meta-GGA SCAN.

Formation energy from raw total energies (eV/atom): -0.744
Theoretical density (g/cm3): 2.574

Cell lengths 3.778, 3.690, 11.824 Å; angles 90.00, 98.70, 90.00 degrees
Space group Pm (No. 6)
Symmetry-distinct sites (fractional):
K 0.000 0.000 0.000 [1 per cell]
K 0.305 0.500 0.648 [1 per cell]
La 0.644 0.500 0.305 [1 per cell]
Cl 0.735 0.000 0.501 [1 per cell]



The lowest theoretical density belongs to which entry?
K2LaCl